1.
Density functional theory data (PBE-GGA) for a geometry-optimized PrHoPaO6 structure.

Computed properties:
Formation energy (no corrections) ... -3.142 eV/atom
Calculated volume ... 15.77 A^3/atom

Cell and atoms, written as POSCAR:
```
PrHoPaO6
1.0
5.9088 0.0000 0.0000
-2.9544 5.1171 0.0000
0.0000 0.0000 4.6928
Pr Ho Pa O
1 1 1 6
direct
0.0000 0.0000 0.0000 Pr
0.3333 0.6667 0.0000 Ho
0.6667 0.3333 0.5000 Pa
0.3611 0.0121 0.2472 O
0.3611 0.3490 0.7528 O
0.6510 0.0121 0.7528 O
0.6510 0.6389 0.2472 O
0.9879 0.3490 0.2472 O
0.9879 0.6389 0.7528 O
```

***

2.
Density functional theory data (PBE-GGA) for a geometry-optimized YFe2Se structure.

Computed properties:
Formation energy (no corrections) ... -0.094 eV/atom
Calculated volume ... 17.60 A^3/atom

Cell and atoms, written as POSCAR:
```
YFe2Se
1.0
4.6531 -1.7165 0.0000
4.6531 1.7165 0.0000
-1.0815 0.0000 4.4071
Y Fe Se
1 2 1
direct
0.0000 0.0000 0.0000 Y
0.2382 0.2382 0.6840 Fe
0.7618 0.7618 0.3160 Fe
0.5000 0.5000 0.5000 Se
```

***

3.
Density functional theory data (PBE-GGA) for a geometry-optimized HoIn2Cu structure.

Computed properties:
Calculated formation energy ... -0.359 eV per atom
Calculated volume ... 21.61 A^3/atom

Cell and atoms, written as POSCAR:
```
HoIn2Cu
1.0
-2.3034 2.3034 8.1474
2.3034 -2.3034 8.1474
2.3034 2.3034 -8.1474
Ho In Cu
2 4 2
direct
0.1383 0.1383 0.0000 Ho
0.8617 0.8617 0.0000 Ho
0.0000 0.5000 0.5000 In
0.3463 0.3463 0.0000 In
0.5000 0.0000 0.5000 In
0.6537 0.6537 0.0000 In
0.2500 0.7500 0.5000 Cu
0.7500 0.2500 0.5000 Cu
```

***

4.
Density functional theory data (PBE-GGA) for a geometry-optimized SrTa3Fe structure.

Computed properties:
Calculated formation energy ... 0.826 eV per atom
ΔE to the lowest computed polymorph ... 0 meV per atom
Calculated volume ... 21.69 A^3/atom

Cell and atoms, written as POSCAR:
```
SrTa3Fe
1.0
4.7687 0.0000 0.0000
0.0000 4.7687 0.0000
0.0000 0.0000 4.7687
Sr Ta Fe
1 3 1
direct
0.0000 0.0000 0.0000 Sr
0.0000 0.5000 0.5000 Ta
0.5000 0.0000 0.5000 Ta
0.5000 0.5000 0.0000 Ta
0.5000 0.5000 0.5000 Fe
```

***

5.
Density functional theory data (PBE-GGA) for a geometry-optimized LiEuGaAu structure.

Computed properties:
Calculated formation energy ... -0.425 eV per atom
Calculated volume ... 19.99 A^3/atom

Cell and atoms, written as POSCAR:
```
LiEuGaAu
1.0
0.0000 3.4194 3.4194
3.4194 0.0000 3.4194
3.4194 3.4194 0.0000
Li Eu Ga Au
1 1 1 1
direct
0.0000 0.0000 0.0000 Li
0.2500 0.2500 0.2500 Eu
0.5000 0.5000 0.5000 Ga
0.7500 0.7500 0.7500 Au
```

***

6.
Density functional theory data (PBE-GGA) for a geometry-optimized In2AgRh structure.

Computed properties:
Calculated formation energy ... -0.078 eV per atom
Calculated volume ... 19.37 A^3/atom

Cell and atoms, written as POSCAR:
```
In2AgRh
1.0
3.6676 0.0000 0.0000
0.0000 3.6676 0.0000
0.0000 0.0000 5.7607
In Ag Rh
2 1 1
direct
0.0000 0.0000 0.0000 In
0.5000 0.5000 0.3143 In
0.5000 0.5000 0.7878 Ag
0.0000 0.0000 0.5021 Rh
```

***

7.
Density functional theory data (PBE-GGA) for a geometry-optimized CsBaSb3 structure.

Computed properties:
ΔE to the lowest computed polymorph ... 326 meV per atom
Formation energy (no corrections) ... 0.599 eV/atom
Calculated volume ... 46.07 A^3/atom

Cell and atoms, written as POSCAR:
```
CsBaSb3
1.0
6.1302 0.0000 0.0000
0.0000 6.1302 0.0000
0.0000 0.0000 6.1302
Cs Ba Sb
1 1 3
direct
0.0000 0.0000 0.0000 Cs
0.5000 0.5000 0.5000 Ba
0.0000 0.0000 0.5000 Sb
0.0000 0.5000 0.0000 Sb
0.5000 0.0000 0.0000 Sb
```

***

8.
Density functional theory data (PBE-GGA) for a geometry-optimized ScBO2 structure.

Computed properties:
Formation energy (no corrections) ... -1.071 eV/atom
Calculated volume ... 14.71 A^3/atom

Cell and atoms, written as POSCAR:
```
ScBO2
1.0
-2.4287 2.4287 4.9869
2.4287 -2.4287 4.9869
2.4287 2.4287 -4.9869
Sc B O
2 2 4
direct
0.0000 0.0000 0.0000 Sc
0.7500 0.2500 0.5000 Sc
0.2500 0.7500 0.5000 B
0.5000 0.5000 0.0000 B
0.0805 0.6250 0.9555 O
0.3750 0.3305 0.4555 O
0.6695 0.1250 0.0445 O
0.8750 0.9195 0.5445 O
```